This record from Alexandria describes a geometry-optimized Mn2PPbF structure. The functional is PBE with a Hubbard U.

a = 5.515 Å, b = 5.163 Å, c = 5.515 Å
α = 90.00°, β = 90.00°, γ = 90.00°
Positions (direct):
Pb: 0.000 0.000 0.000
P: 0.000 0.500 0.000
Mn: 0.000 0.000 0.500
Mn: 0.500 0.000 0.000
F: 0.500 0.500 0.500

## Properties
total moment: 1.831 μB/atom
DFT total energy: -22.3 eV for the cell shown
N(E_F): 0.6856 states/eV per atom